Record 1
Computed, not measured: crystalline TaGa2SnPt at its relaxed geometry at the PBE level of DFT.

The formation energy is 522 meV/atom.

It has space group P4/mmm (No. 123), with a = 5.067 Å, b = 5.067 Å, c = 4.917 Å, α = 90.00°, β = 90.00° and γ = 90.00°. The distinct sites, in fractional coordinates, are Ta at (0.000, 0.000, 0.000), Ga at (0.000, 0.500, 0.000), Sn at (0.500, 0.500, 0.500) and Pt at (0.000, 0.000, 0.500).


Record 2
Computed, not measured: crystalline CaCrIr2 at its relaxed geometry at the PBE level of DFT.

The formation energy is 153 meV/atom. The value obtained for the excess energy over the best structure of this formula in the dataset is 0.2814 eV/atom.

It has space group Imm2 (No. 44), with a = 2.882 Å, b = 4.681 Å, c = 10.245 Å, α = 90.00°, β = 90.00° and γ = 90.00°. The distinct sites, in fractional coordinates, are Ca at (0.000, 0.000, 0.000), Cr at (0.000, 0.500, 0.791), Ir at (0.000, 0.000, 0.509) and Ir at (0.000, 0.500, 0.228).


Record 3
Computed, not measured: crystalline RbMgAlRh2 at its relaxed geometry at the PBE level of DFT.

The formation energy is 1072 meV/atom.

It has space group P4/mmm (No. 123), with a = 4.808 Å, b = 4.808 Å, c = 5.261 Å, α = 90.00°, β = 90.00° and γ = 90.00°. The distinct sites, in fractional coordinates, are Rb at (0.000, 0.000, 0.000), Mg at (0.000, 0.000, 0.500), Al at (0.500, 0.500, 0.000) and Rh at (0.000, 0.500, 0.500).


Record 4
Computed, not measured: crystalline Zr5SnHg2 at its relaxed geometry at the PBE level of DFT.

The formation energy is -200 meV/atom.

It has space group I4/mcm (No. 140), with a = 7.483 Å, b = 7.483 Å, c = 13.010 Å, α = 90.00°, β = 90.00° and γ = 90.00°. The distinct sites, in fractional coordinates, are Zr at (0.000, 0.000, 0.000), Zr at (0.155, 0.345, 0.160), Sn at (0.000, 0.000, 0.250) and Hg at (0.139, 0.361, 0.500).


Record 5
Computed, not measured: crystalline ReSiIr2 at its relaxed geometry at the PBE level of DFT.

The raw formation energy comes out at -0.0640 eV per atom.

It has space group I-4m2 (No. 119), with a = 3.869 Å, b = 3.869 Å, c = 7.559 Å, α = 90.00°, β = 90.00° and γ = 90.00°. The distinct sites, in fractional coordinates, are Re at (0.000, 0.000, 0.000), Si at (0.000, 0.500, 0.750), Ir at (0.000, 0.000, 0.500) and Ir at (0.000, 0.500, 0.250).


Record 6
Computed, not measured: crystalline PaIrS4 at its relaxed geometry at the PBE level of DFT.

The raw formation energy comes out at -1.0291 eV per atom. The value obtained for the excess energy over the best structure of this formula in the dataset is 0.0000 eV/atom.

It has space group Cccm (No. 66), with a = 7.694 Å, b = 9.598 Å, c = 7.315 Å, α = 90.00°, β = 90.00° and γ = 90.00°. The distinct sites, in fractional coordinates, are Pa at (0.250, 0.250, 0.000), Ir at (0.000, 0.000, 0.250), S at (0.000, 0.254, 0.250) and S at (0.204, 0.021, 0.500).


Record 7
Computed, not measured: crystalline Hf6IrS at its relaxed geometry at the PBE level of DFT.

The raw formation energy comes out at -0.3289 eV per atom.

It has space group C2/m (No. 12), with a = 6.403 Å, b = 9.265 Å, c = 6.017 Å, α = 90.00°, β = 103.57° and γ = 90.00°. The distinct sites, in fractional coordinates, are Hf at (0.135, 0.184, 0.293), Hf at (0.211, 0.500, 0.204), Ir at (0.000, 0.500, 0.500) and S at (0.000, 0.000, 0.000).


Record 8
Computed, not measured: crystalline CeGd2Mg at its relaxed geometry at the PBE level of DFT.

The formation energy is 208 meV/atom. The value obtained for the excess energy over the best structure of this formula in the dataset is 0.2071 eV/atom.

It has space group R-3m (No. 166, hexagonal axes), with a = 3.4268 Å, b = 3.4268 Å, c = 36.3739 Å, α = 90.00°, β = 90.00° and γ = 120.00°. The distinct sites, in fractional coordinates, are Ce at (0.0000, 0.0000, 0.0000), Gd at (0.0000, 0.0000, 0.4101) and Mg at (0.0000, 0.0000, 0.5000).


Copy entry 3 word for word.
Computed, not measured: crystalline RbMgAlRh2 at its relaxed geometry at the PBE level of DFT.

The formation energy is 1072 meV/atom.

It has space group P4/mmm (No. 123), with a = 4.808 Å, b = 4.808 Å, c = 5.261 Å, α = 90.00°, β = 90.00° and γ = 90.00°. The distinct sites, in fractional coordinates, are Rb at (0.000, 0.000, 0.000), Mg at (0.000, 0.000, 0.500), Al at (0.500, 0.500, 0.000) and Rh at (0.000, 0.500, 0.500).


What did the fourth record say?
Computed, not measured: crystalline Zr5SnHg2 at its relaxed geometry at the PBE level of DFT.

The formation energy is -200 meV/atom.

It has space group I4/mcm (No. 140), with a = 7.483 Å, b = 7.483 Å, c = 13.010 Å, α = 90.00°, β = 90.00° and γ = 90.00°. The distinct sites, in fractional coordinates, are Zr at (0.000, 0.000, 0.000), Zr at (0.155, 0.345, 0.160), Sn at (0.000, 0.000, 0.250) and Hg at (0.139, 0.361, 0.500).